# V2SnF6 | Alexandria | PBE+U | relaxed
data_V2SnF6
_chemical_formula_sum 'V2 Sn1 F6'
_symmetry_space_group_name_H-M 'P -3 1 m'
_symmetry_Int_Tables_number 162
_symmetry_space_group_name_Hall '-P 3 2'
_cell_length_a 5.6052
_cell_length_b 5.6052
_cell_length_c 5.0874
_cell_angle_alpha 90.00
_cell_angle_beta 90.00
_cell_angle_gamma 120.00
loop_
_atom_site_label
_atom_site_type_symbol
_atom_site_fract_x
_atom_site_fract_y
_atom_site_fract_z
V1 V 0.3333 0.6667 0.0000
Sn1 Sn 0.0000 0.0000 0.5000
F1 F 0.0000 0.3540 0.2195
# Volume   15.4 A^3/atom
# Fermi-level density of states   0.000 states/eV/atom
# Final energy   -5.861 eV per atom
# Crystal system   trigonal